Below is a relaxed structure of BaZr2, with properties calculated at the PBE-GGA level.

Properties
* total moment: 0.000 μB per atom
* raw total energy: -5.523 eV/atom
* energy relative to the lowest polymorph listed for this composition: 498.3 meV/atom
* calculated formation energy: 817 meV/atom
* calculated volume: 28.890 A^3/atom

Lattice parameters (Å, degrees): 5.4935 5.4935 6.6324 90.00 90.00 120.00
Space group P6_3/mmc (No. 194)
Asymmetric unit:
1 Ba 0.3333 0.6667 0.2500 (multiplicity 2)
2 Zr 0.0000 0.0000 0.0000 (multiplicity 2)
3 Zr 0.3333 0.6667 0.7500 (multiplicity 2)

Below is a relaxed structure of PmDyPu4, with properties calculated at the PBE-GGA level.

Properties
* total moment: 3.774 μB per atom
* raw total energy: -10.876 eV/atom
* calculated formation energy: 237 meV/atom
* calculated volume: 27.912 A^3/atom

Lattice parameters (Å, degrees): 8.750 8.750 8.750 90.00 90.00 90.00
Space group F-43m (No. 216)
Asymmetric unit:
1 Pm 0.000 0.000 0.000 (multiplicity 4)
2 Dy 0.250 0.250 0.750 (multiplicity 4)
3 Pu 0.125 0.125 0.375 (multiplicity 16)

Below is a relaxed structure of NaCa2FeH, with properties calculated at the PBE-GGA level.

Properties
* total moment: 0.449 μB per atom
* raw total energy: -2.619 eV/atom
* calculated volume: 23.470 A^3/atom

Lattice parameters (Å, degrees): 5.775 5.775 3.519 90.00 90.00 90.00
Space group P4/mmm (No. 123)
Asymmetric unit:
1 Na 0.000 0.000 0.000 (multiplicity 1)
2 Ca 0.000 0.500 0.000 (multiplicity 2)
3 Fe 0.500 0.500 0.500 (multiplicity 1)
4 H 0.000 0.000 0.500 (multiplicity 1)

Below is a relaxed structure of Cs2NbGeBr6, with properties calculated at the PBE-GGA level.

Properties
* total moment: 0.300 μB per atom
* raw formation energy: -1.010 eV/atom
* raw total energy: -3.653 eV/atom
* calculated volume: 34.545 A^3/atom

Lattice parameters (Å, degrees): 7.878 7.878 11.132 90.00 90.00 90.00
Space group I4/mmm (No. 139)
Asymmetric unit:
1 Cs 0.000 0.500 0.250 (multiplicity 4)
2 Nb 0.000 0.000 0.000 (multiplicity 2)
3 Ge 0.000 0.000 0.500 (multiplicity 2)
4 Br 0.000 0.000 0.246 (multiplicity 4)
5 Br 0.246 0.246 0.000 (multiplicity 8)

Below is a relaxed structure of CaInAg2, with properties calculated at the PBE-GGA level.

Properties
* total moment: 0.000 μB per atom
* raw total energy: -2.823 eV/atom
* calculated formation energy: -212 meV/atom
* calculated volume: 22.907 A^3/atom

Lattice parameters (Å, degrees): 9.971 4.053 4.924 90.00 112.93 90.00
Space group Cm (No. 8)
Asymmetric unit:
1 Ca 0.000 0.000 0.000 (multiplicity 2)
2 In 0.268 0.500 0.300 (multiplicity 2)
3 Ag 0.004 0.500 0.504 (multiplicity 2)
4 Ag 0.237 0.000 0.727 (multiplicity 2)

Below is a relaxed structure of RbTcPtI2, with properties calculated at the PBE-GGA level.

Properties
* total moment: 1.053 μB per atom
* raw formation energy: 0.871 eV/atom
* raw total energy: -3.224 eV/atom
* energy relative to the lowest polymorph listed for this composition: 532.5 meV/atom
* calculated volume: 37.672 A^3/atom

Lattice parameters (Å, degrees): 5.520 5.520 6.181 90.00 90.00 90.00
Space group P4/mmm (No. 123)
Asymmetric unit:
1 Rb 0.000 0.000 0.000 (multiplicity 1)
2 Tc 0.500 0.500 0.000 (multiplicity 1)
3 Pt 0.000 0.000 0.500 (multiplicity 1)
4 I 0.000 0.500 0.500 (multiplicity 2)

Below is a relaxed structure of RuBr2O, with properties calculated at the PBE-GGA level.

Properties
* total moment: 0.000 μB per atom
* raw formation energy: 0.890 eV/atom
* raw total energy: -3.505 eV/atom
* calculated volume: 15.232 A^3/atom

Lattice parameters (Å, degrees): 6.246 6.246 6.246 90.00 90.00 90.00
Space group Fm-3m (No. 225)
Asymmetric unit:
1 Ru 0.000 0.000 0.000 (multiplicity 4)
2 Br 0.250 0.250 0.250 (multiplicity 8)
3 O 0.000 0.000 0.500 (multiplicity 4)

Below is a relaxed structure of CaLaPb, with properties calculated at the PBE-GGA level.

Properties
* total moment: 0.001 μB per atom
* raw total energy: -3.493 eV/atom
* calculated formation energy: 53 meV/atom
* calculated volume: 38.739 A^3/atom

Lattice parameters (Å, degrees): 7.747 7.747 7.747 90.00 90.00 90.00
Space group F-43m (No. 216)
Asymmetric unit:
1 Ca 0.000 0.000 0.000 (multiplicity 4)
2 La 0.250 0.250 0.750 (multiplicity 4)
3 Pb 0.000 0.000 0.500 (multiplicity 4)

Below is a relaxed structure of PrPuTcN3, with properties calculated at the PBE-GGA level.

Properties
* total moment: 0.727 μB per atom
* raw formation energy: -0.771 eV/atom
* raw total energy: -9.846 eV/atom
* calculated volume: 15.921 A^3/atom

Lattice parameters (Å, degrees): 7.418 3.387 7.697 90.00 98.89 90.00
Space group P2_1/m (No. 11)
Asymmetric unit:
1 Pr 0.166 0.250 0.186 (multiplicity 2)
2 Pu 0.360 0.750 0.835 (multiplicity 2)
3 Tc 0.100 0.250 0.587 (multiplicity 2)
4 N 0.124 0.250 0.852 (multiplicity 2)
5 N 0.182 0.750 0.449 (multiplicity 2)
6 N 0.424 0.750 0.124 (multiplicity 2)

Below is a relaxed structure of LiCdSb2, with properties calculated at the PBE-GGA level.

Properties
* total moment: 0.000 μB per atom
* raw formation energy: -0.103 eV/atom
* raw total energy: -2.871 eV/atom
* calculated volume: 24.224 A^3/atom

Lattice parameters (Å, degrees): 3.5112 3.5112 27.2265 90.00 90.00 120.00
Space group R-3m (No. 166, hexagonal axes)
Asymmetric unit:
1 Li 0.0000 0.0000 0.0000 (multiplicity 3)
2 Cd 0.0000 0.0000 0.5000 (multiplicity 3)
3 Sb 0.0000 0.0000 0.2526 (multiplicity 6)

Below is a relaxed structure of Ce3Pm2Co2, with properties calculated at the PBE-GGA level.

Properties
* total moment: 0.000 μB per atom
* raw total energy: -6.068 eV/atom
* calculated formation energy: -138 meV/atom
* calculated volume: 24.380 A^3/atom

Lattice parameters (Å, degrees): 11.572 3.646 8.680 90.00 111.23 90.00
Space group C2/m (No. 12)
Asymmetric unit:
1 Ce 0.000 0.000 0.000 (multiplicity 2)
2 Ce 0.120 0.000 0.429 (multiplicity 4)
3 Pm 0.167 0.500 0.799 (multiplicity 4)
4 Co 0.117 0.500 0.218 (multiplicity 4)

Below is a relaxed structure of RbTePbCl, with properties calculated at the PBE-GGA level.

Properties
* total moment: 0.000 μB per atom
* raw formation energy: -1.067 eV/atom
* raw total energy: -3.483 eV/atom
* calculated volume: 38.083 A^3/atom

Lattice parameters (Å, degrees): 4.5906 4.5906 25.0421 90.00 90.00 120.00
Space group R3m (No. 160, hexagonal axes)
Asymmetric unit:
1 Rb 0.0000 0.0000 0.0000 (multiplicity 3)
2 Te 0.0000 0.0000 0.4396 (multiplicity 3)
3 Pb 0.0000 0.0000 0.8388 (multiplicity 3)
4 Cl 0.0000 0.0000 0.2565 (multiplicity 3)

Below is a relaxed structure of ScAlBi2O6, with properties calculated at the PBE-GGA level.

Properties
* total moment: 0.000 μB per atom
* raw formation energy: -2.208 eV/atom
* raw total energy: -6.967 eV/atom
* calculated volume: 12.230 A^3/atom

Lattice parameters (Å, degrees): 5.486 5.673 9.581 90.00 124.89 90.00
Space group P2_1/c (No. 14)
Asymmetric unit:
1 Sc 0.000 0.000 0.000 (multiplicity 2)
2 Al 0.500 0.000 0.500 (multiplicity 2)
3 Bi 0.242 0.047 0.750 (multiplicity 4)
4 O 0.167 0.192 0.455 (multiplicity 4)
5 O 0.267 0.713 0.455 (multiplicity 4)
6 O 0.352 0.026 0.262 (multiplicity 4)

Below is a relaxed structure of La2NiSe, with properties calculated at the PBE-GGA level.

Properties
* total moment: 0.000 μB per atom
* raw formation energy: -0.197 eV/atom
* raw total energy: -4.977 eV/atom
* calculated volume: 23.153 A^3/atom

Lattice parameters (Å, degrees): 7.182 7.182 7.182 90.00 90.00 90.00
Space group F-43m (No. 216)
Asymmetric unit:
1 La 0.000 0.000 0.000 (multiplicity 4)
2 La 0.250 0.250 0.250 (multiplicity 4)
3 Ni 0.250 0.250 0.750 (multiplicity 4)
4 Se 0.000 0.000 0.500 (multiplicity 4)

Below is a relaxed structure of PaVFe2, with properties calculated at the PBE-GGA level.

Properties
* total moment: 0.541 μB per atom
* raw total energy: -8.813 eV/atom
* energy relative to the lowest polymorph listed for this composition: 194.0 meV/atom
* calculated formation energy: 72 meV/atom
* calculated volume: 14.917 A^3/atom

Lattice parameters (Å, degrees): 4.169 4.169 3.434 90.00 90.00 90.00
Space group P4/mmm (No. 123)
Asymmetric unit:
1 Pa 0.000 0.000 0.000 (multiplicity 1)
2 V 0.500 0.500 0.000 (multiplicity 1)
3 Fe 0.000 0.500 0.500 (multiplicity 2)

Below is a relaxed structure of HfMnPb, with properties calculated at the PBE-GGA level.

Properties
* total moment: 0.000 μB per atom
* raw total energy: -7.488 eV/atom
* energy relative to the lowest polymorph listed for this composition: 119.8 meV/atom
* calculated formation energy: 122 meV/atom
* calculated volume: 21.389 A^3/atom

Lattice parameters (Å, degrees): 4.259 4.267 14.126 90.00 90.52 90.00
Space group C2/m (No. 12)
Asymmetric unit:
1 Hf 0.245 0.000 0.330 (multiplicity 4)
2 Mn 0.249 0.500 0.459 (multiplicity 4)
3 Pb 0.239 0.500 0.140 (multiplicity 4)

Below is a relaxed structure of PtAu2Cl, with properties calculated at the PBE-GGA level.

Properties
* total moment: 0.000 μB per atom
* raw formation energy: 0.273 eV/atom
* raw total energy: -3.338 eV/atom
* energy relative to the lowest polymorph listed for this composition: 114.2 meV/atom
* calculated volume: 19.446 A^3/atom

Lattice parameters (Å, degrees): 2.884 4.286 12.586 90.00 90.00 90.00
Space group Immm (No. 71)
Asymmetric unit:
1 Pt 0.000 0.000 0.000 (multiplicity 2)
2 Au 0.000 0.500 0.299 (multiplicity 4)
3 Cl 0.000 0.000 0.500 (multiplicity 2)

Below is a relaxed structure of Ba2TcSb, with properties calculated at the PBE-GGA level.

Properties
* total moment: 0.106 μB per atom
* raw formation energy: 0.094 eV/atom
* raw total energy: -4.489 eV/atom
* calculated volume: 33.355 A^3/atom

Lattice parameters (Å, degrees): 3.665 3.665 9.931 90.00 90.00 90.00
Space group P4mm (No. 99)
Asymmetric unit:
1 Ba 0.000 0.000 0.000 (multiplicity 1)
2 Ba 0.500 0.500 0.411 (multiplicity 1)
3 Tc 0.500 0.500 0.762 (multiplicity 1)
4 Sb 0.000 0.000 0.655 (multiplicity 1)

Below is a relaxed structure of ZrSnTe, with properties calculated at the PBE-GGA level.

Properties
* total moment: 0.000 μB per atom
* raw formation energy: -0.365 eV/atom
* raw total energy: -5.596 eV/atom
* calculated volume: 27.574 A^3/atom

Lattice parameters (Å, degrees): 3.791 5.927 22.091 90.00 90.00 90.00
Space group Pmn2_1 (No. 31)
Asymmetric unit:
1 Zr 0.000 0.108 0.000 (multiplicity 2)
2 Zr 0.000 0.199 0.610 (multiplicity 2)
3 Zr 0.000 0.354 0.305 (multiplicity 2)
4 Sn 0.000 0.017 0.203 (multiplicity 2)
5 Sn 0.000 0.617 0.008 (multiplicity 2)
6 Sn 0.000 0.670 0.411 (multiplicity 2)
7 Te 0.000 0.410 0.732 (multiplicity 2)
8 Te 0.000 0.714 0.590 (multiplicity 2)
9 Te 0.000 0.876 0.880 (multiplicity 2)

Below is a relaxed structure of La2OsBr, with properties calculated at the PBE-GGA level.

Properties
* total moment: 0.000 μB per atom
* raw formation energy: 0.219 eV/atom
* raw total energy: -5.470 eV/atom
* energy relative to the lowest polymorph listed for this composition: 1023.8 meV/atom
* calculated volume: 24.007 A^3/atom

Lattice parameters (Å, degrees): 7.269 7.269 7.269 90.00 90.00 90.00
Space group F-43m (No. 216)
Asymmetric unit:
1 La 0.000 0.000 0.000 (multiplicity 4)
2 La 0.250 0.250 0.250 (multiplicity 4)
3 Os 0.250 0.250 0.750 (multiplicity 4)
4 Br 0.000 0.000 0.500 (multiplicity 4)

Below is a relaxed structure of Ca2Be3Ge4Au, with properties calculated at the PBE-GGA level.

Properties
* total moment: 0.000 μB per atom
* raw total energy: -3.976 eV/atom
* calculated formation energy: -283 meV/atom
* calculated volume: 17.290 A^3/atom

Lattice parameters (Å, degrees): 4.114 4.114 10.218 90.00 90.00 90.00
Space group P-4m2 (No. 115)
Asymmetric unit:
1 Ca 0.000 0.500 0.246 (multiplicity 2)
2 Be 0.000 0.500 0.872 (multiplicity 2)
3 Be 0.500 0.500 0.500 (multiplicity 1)
4 Ge 0.000 0.000 0.000 (multiplicity 1)
5 Ge 0.000 0.500 0.649 (multiplicity 2)
6 Ge 0.500 0.500 0.000 (multiplicity 1)
7 Au 0.000 0.000 0.500 (multiplicity 1)